# 1
This record from Alexandria via LeMat-Bulk describes crystalline SmSiHIr2 at its relaxed geometry. The functional is PBE.

POSCAR file:
```
SmSiHIr2
1.0
-2.455 0.224 2.999
5.011 -2.160 1.752
2.340 6.584 1.423
H Ir Sm Si
2 4 2 2
direct
0.000 0.000 0.500 H
0.000 0.000 0.000 H
0.838 0.677 0.445 Ir
0.162 0.323 0.555 Ir
0.838 0.677 0.055 Ir
0.162 0.323 0.945 Ir
0.557 0.115 0.250 Sm
0.443 0.885 0.750 Sm
0.722 0.444 0.750 Si
0.278 0.556 0.250 Si
```

Output
total DFT energy (no corrections): -6.970 eV/atom
calculated density: 12.54 g/cm3
total magnetization: 0.000 μB/f.u.
crystal system: orthorhombic

# 2
This record from Alexandria via LeMat-Bulk describes crystalline Si2SnHIr at its relaxed geometry. The functional is PBE.

POSCAR file:
```
Si2SnHIr
1.0
-4.491 0.147 -1.791
0.157 -3.406 -0.673
-1.784 -0.950 4.395
Si Sn H Ir
2 1 1 1
direct
0.000 0.000 0.500 Si
0.500 0.000 0.000 Si
0.500 0.500 0.500 Sn
0.000 0.500 0.000 H
0.000 0.000 0.000 Ir
```

Output
total DFT energy (no corrections): -5.186 eV/atom
calculated density: 7.52 g/cm3
total magnetization: 0.000 μB/f.u.
crystal system: tetragonal

# 3
This record from Alexandria via LeMat-Bulk describes crystalline TbSiHIr2 at its relaxed geometry. The functional is PBE.

POSCAR file:
```
TbSiHIr2
1.0
3.839 0.000 0.000
-1.920 5.345 0.000
0.000 0.000 7.118
Tb Ir Si H
2 4 2 2
direct
0.443 0.886 0.750 Tb
0.557 0.114 0.250 Tb
0.840 0.680 0.054 Ir
0.160 0.320 0.554 Ir
0.160 0.320 0.946 Ir
0.840 0.680 0.446 Ir
0.277 0.554 0.250 Si
0.723 0.446 0.750 Si
0.000 0.000 0.000 H
0.000 0.000 0.500 H
```

Output
total DFT energy (no corrections): -6.974 eV/atom
calculated density: 13.02 g/cm3
total magnetization: 0.000 μB/f.u.
crystal system: orthorhombic

# 4
This record from Alexandria via LeMat-Bulk describes crystalline TbSiHIr at its relaxed geometry. The functional is PBE.

POSCAR file:
```
TbSiHIr
1.0
-2.693 2.933 0.719
0.043 -0.926 3.939
5.401 4.703 1.047
H Si Tb Ir
2 2 2 2
direct
0.000 0.000 0.500 H
0.500 0.500 0.500 H
0.000 0.500 0.819 Si
0.500 0.000 0.181 Si
0.000 0.500 0.345 Tb
0.500 0.000 0.655 Tb
0.500 0.500 0.000 Ir
0.000 0.000 0.000 Ir
```

Output
total DFT energy (no corrections): -6.483 eV/atom
calculated density: 10.66 g/cm3
total magnetization: 0.000 μB/f.u.
crystal system: tetragonal